Compound: TmScBe
Source: OQMD
Functional: PBE-GGA
Structure: optimized geometry

Summary:
SG: F-43m
Total magnetic moment (μB per cell): 0.00
ρ (g/cm3): 5.41
Distance to the lowest polymorph of the same formula (meV/atom): 0

Lattice parameters (Å, degrees): 4.5919 4.5919 4.5919 60.00 60.00 60.00
Element x y z (fractional)
1 Sc 0.0000 0.0000 0.0000
2 Be 0.2500 0.2500 0.2500
3 Tm 0.7500 0.7500 0.7500


Compound: MgCoReSn
Source: OQMD
Functional: PBE-GGA
Structure: optimized geometry

Summary:
SG: F-43m
Total magnetic moment (μB per cell): 0.71
ρ (g/cm3): 10.29
Distance to the lowest polymorph of the same formula (meV/atom): 0

Lattice parameters (Å, degrees): 4.4582 4.4582 4.4582 60.00 60.00 60.00
Element x y z (fractional)
1 Mg 0.5000 0.5000 0.5000
2 Re 0.2500 0.2500 0.2500
3 Sn 0.0000 0.0000 0.0000
4 Co 0.7500 0.7500 0.7500


Compound: Y2BiPt2
Source: OQMD
Functional: PBE-GGA
Structure: optimized geometry

Summary:
SG: P4/mbm
Total magnetic moment (μB per cell): 0.01
ρ (g/cm3): 11.16
E (eV per atom): -6.896

Lattice parameters (Å, degrees): 8.0018 8.0018 3.6114 90.00 90.00 90.00
Element x y z (fractional)
1 Y 0.6674 0.8326 0.5000
2 Pt 0.3747 0.8747 0.0000
3 Y 0.3326 0.1674 0.5000
4 Y 0.1674 0.6674 0.5000
5 Pt 0.1253 0.3747 0.0000
6 Bi 0.0000 0.0000 0.0000
7 Pt 0.6253 0.1253 0.0000
8 Bi 0.5000 0.5000 0.0000
9 Pt 0.8747 0.6253 0.0000
10 Y 0.8326 0.3326 0.5000